! BaVO2 | Alexandria | PBE with a Hubbard U | optimized geometry; values from VASP
&SYSTEM
  ibrav = 0, nat = 4, ntyp = 3
/
ATOMIC_SPECIES
Ba 137.33 Ba.upf
O 16.00 O.upf
V 50.94 V.upf
ATOMIC_POSITIONS crystal
Ba 0.500 0.500 0.500
O 0.904 0.904 0.904
O 0.096 0.096 0.096
V 0.000 0.000 0.000
CELL_PARAMETERS angstrom
2.369 0.000 6.303
-1.185 2.052 6.303
-1.185 -2.052 6.303
! Polymorph energy (0 for the lowest one)   0.000 eV per atom
! Symmetry   R-3m, No. 166
! E   -26.79 eV per formula unit